Entry from the Alexandria database: crystalline Th3OsPbN at its relaxed geometry (PBE).

POSCAR file:
```
Th3OsPbN
1.0
9.209 0.000 0.000
0.000 4.134 0.000
-2.395 0.000 9.200
Th Os Pb N
6 2 2 2
direct
0.052 0.250 0.347
0.331 0.250 0.969
0.368 0.750 0.650
0.632 0.250 0.350
0.669 0.750 0.031
0.948 0.750 0.653
0.159 0.250 0.654
0.841 0.750 0.346
0.315 0.750 0.266
0.685 0.250 0.734
0.421 0.750 0.903
0.579 0.250 0.097
```

- Energy relative to the elements, uncorrected: -0.6931 eV/atom

=====

Entry from the Alexandria database: crystalline KIr3C at its relaxed geometry (PBE).

POSCAR file:
```
KIr3C
1.0
4.223 0.000 0.000
0.000 4.223 0.000
0.000 0.000 4.223
K Ir C
1 3 1
direct
0.000 0.000 0.000
0.000 0.500 0.500
0.500 0.000 0.500
0.500 0.500 0.000
0.500 0.500 0.500
```

- Formation enthalpy at 0 K: 76.6 kJ per mole of atoms

=====

Entry from the Alexandria database: crystalline Rb2CaSbF6 at its relaxed geometry (PBE).

POSCAR file:
```
Rb2CaSbF6
1.0
-3.361 3.361 4.486
3.361 -3.361 4.486
3.361 3.361 -4.486
Rb Ca Sb F
2 1 1 6
direct
0.250 0.750 0.500
0.750 0.250 0.500
0.000 0.000 0.000
0.500 0.500 0.000
0.236 0.236 0.473
0.236 0.764 0.000
0.253 0.253 0.000
0.747 0.747 0.000
0.764 0.236 0.000
0.764 0.764 0.527
```

- Energy relative to the elements, uncorrected: -2.6866 eV/atom

=====

Entry from the Alexandria database: crystalline CaNdSiAg at its relaxed geometry (PBE).

POSCAR file:
```
CaNdSiAg
1.0
0.000 3.664 3.664
3.664 0.000 3.664
3.664 3.664 0.000
Ca Nd Si Ag
1 1 1 1
direct
0.000 0.000 0.000
0.500 0.500 0.500
0.250 0.250 0.250
0.750 0.750 0.750
```

- Energy relative to the elements, uncorrected: -0.4196 eV/atom

=====

Entry from the Alexandria database: crystalline Sc2OsC at its relaxed geometry (PBE).

POSCAR file:
```
Sc2OsC
1.0
1.562 0.902 7.669
-1.562 0.902 7.669
0.000 -1.804 7.669
Sc Os C
2 1 1
direct
0.111 0.111 0.111
0.889 0.889 0.889
0.000 0.000 0.000
0.500 0.500 0.500
```

- Formation enthalpy at 0 K: 15.5 kJ per mole of atoms

=====

Entry from the Alexandria database: crystalline Dy4ScTl2 at its relaxed geometry (PBE).

POSCAR file:
```
Dy4ScTl2
1.0
-2.832 2.832 6.591
2.832 -2.832 6.591
2.832 2.832 -6.591
Dy Sc Tl
4 1 2
direct
0.000 0.500 0.500
0.250 0.750 0.500
0.500 0.000 0.500
0.750 0.250 0.500
0.000 0.000 0.000
0.371 0.371 0.000
0.629 0.629 0.000
```

- Formation enthalpy at 0 K: 21.8 kJ per mole of atoms

=====

Entry from the Alexandria database: crystalline Sm2Hg5Au at its relaxed geometry (PBE).

POSCAR file:
```
Sm2Hg5Au
1.0
2.401 1.386 10.778
-2.401 1.386 10.778
0.000 -2.772 10.778
Sm Hg Au
2 5 1
direct
0.093 0.093 0.093
0.907 0.907 0.907
0.201 0.201 0.201
0.371 0.371 0.371
0.500 0.500 0.500
0.629 0.629 0.629
0.799 0.799 0.799
0.000 0.000 0.000
```

- Formation enthalpy at 0 K: -26.7 kJ per mole of atoms

=====

Entry from the Alexandria database: crystalline TiTc3W at its relaxed geometry (PBE).

POSCAR file:
```
TiTc3W
1.0
4.426 0.000 0.000
0.000 4.426 0.000
0.000 0.000 4.426
Ti Tc W
1 3 1
direct
0.000 0.000 0.000
0.000 0.000 0.500
0.000 0.500 0.000
0.500 0.000 0.000
0.500 0.500 0.500
```

- Formation enthalpy at 0 K: 135.9 kJ per mole of atoms

=====

Entry from the Alexandria database: crystalline Tl2ReRu at its relaxed geometry (PBE).

POSCAR file:
```
Tl2ReRu
1.0
3.089 0.000 0.000
0.000 4.678 0.000
0.000 0.000 5.242
Tl Re Ru
2 1 1
direct
0.000 0.000 0.000
0.500 0.000 0.500
0.000 0.500 0.500
0.500 0.500 0.000
```

- Formation enthalpy at 0 K: 99.9 kJ per mole of atoms

=====

Entry from the Alexandria database: crystalline SrSc2Ni at its relaxed geometry (PBE).

POSCAR file:
```
SrSc2Ni
1.0
3.806 0.000 0.000
0.000 4.888 0.000
0.000 0.000 5.108
Sr Sc Ni
1 2 1
direct
0.000 0.000 0.000
0.000 0.500 0.500
0.500 0.000 0.500
0.500 0.500 0.000
```

- Formation enthalpy at 0 K: 30.3 kJ per mole of atoms

=====

Entry from the Alexandria database: crystalline K2LiTc at its relaxed geometry (PBE).

POSCAR file:
```
K2LiTc
1.0
2.818 0.000 0.000
0.000 5.779 0.000
-0.349 0.000 6.537
K Li Tc
2 1 1
direct
0.061 0.000 0.236
0.939 0.000 0.764
0.000 0.500 0.500
0.500 0.500 0.000
```

- Formation enthalpy at 0 K: 108.4 kJ per mole of atoms

=====

Entry from the Alexandria database: crystalline MnW at its relaxed geometry (PBE).

POSCAR file:
```
MnW
1.0
2.683 0.000 0.000
0.000 2.683 0.000
0.000 0.000 7.572
Mn W
2 2
direct
0.250 0.250 0.089
0.750 0.750 0.911
0.250 0.250 0.651
0.750 0.750 0.349
```

- Formation enthalpy at 0 K: 16.5 kJ per mole of atoms

=====

no.,final energy (eV/atom)
1,-8.280
2,-6.587
3,-4.615
4,-4.181
5,-8.119
6,-3.984
7,-2.055
8,-8.981
9,-5.578
10,-4.717
11,-2.495
12,-10.891